Density functional theory data (PBE) for crystalline K2MgH4I4O14 at its relaxed geometry.

Cell: 8.016 8.016 8.304 Å, 59.41 59.41 59.46°
Element x y z (fractional)
O 0.876 0.854 0.424
O 0.709 0.929 0.129
O 0.146 0.124 0.576
K 0.131 0.869 0.000
O 0.742 0.539 0.533
O 0.067 0.645 0.868
O 0.461 0.258 0.467
H 0.208 0.698 0.625
H 0.861 0.041 0.475
O 0.355 0.933 0.132
O 0.071 0.291 0.871
I 0.638 0.836 0.019
I 0.164 0.362 0.981
O 0.323 0.677 0.500
O 0.437 0.319 0.822
O 0.238 0.447 0.214
H 0.302 0.792 0.375
O 0.681 0.563 0.178
Mg 0.583 0.417 0.500
O 0.553 0.762 0.786
H 0.959 0.139 0.525
I 0.190 0.365 0.480
K 0.654 0.346 0.000
I 0.635 0.810 0.520
O 0.839 0.161 0.500

## Properties
E in eV for the cell shown: -117.22
Volume in A^3/atom: 14.896
Space group: C2
DOS(E_F) in states/eV per cell: 0.00